Version A
# HoEr3Ga2, relaxed, DFT PBE
# * Fermi-level density of states: 20.19 states/eV/cell
# * volume: 617.6 Å³/cell
data_HoEr3Ga2
_cell_length_a 15.824
_cell_length_b 5.021
_cell_length_c 8.798
_cell_angle_alpha 90.00
_cell_angle_beta 117.95
_cell_angle_gamma 90.00
_symmetry_space_group_name_H-M 'C 1 2/m 1'
_symmetry_Int_Tables_number 12
loop_
_symmetry_equiv_pos_as_xyz
'x,y,z'
'-x,-y,-z'
'-x,y,-z'
'x,-y,z'
'x+1/2,y+1/2,z'
'-x+1/2,-y+1/2,-z'
'-x+1/2,y+1/2,-z'
'x+1/2,-y+1/2,z'
loop_
_atom_site_label
_atom_site_type_symbol
_atom_site_fract_x
_atom_site_fract_y
_atom_site_fract_z
Ho1 Ho 0.130 0.000 0.189
Er1 Er 0.061 0.000 0.717
Er2 Er 0.121 0.500 0.513
Er3 Er 0.187 0.500 0.992
Ga1 Ga 0.016 0.500 0.152
Ga2 Ga 0.227 0.000 0.615

***

Version B
# HoEr3Ga2, relaxed, DFT PBE
# * Fermi-level density of states: 10.44 states/eV/cell
# * volume: 300.7 Å³/cell
data_HoEr3Ga2
_cell_length_a 4.892
_cell_length_b 9.382
_cell_length_c 6.552
_cell_angle_alpha 90.00
_cell_angle_beta 90.00
_cell_angle_gamma 90.00
_symmetry_space_group_name_H-M 'P m c 21'
_symmetry_Int_Tables_number 26
loop_
_symmetry_equiv_pos_as_xyz
'x,y,z'
'-x,-y,z+1/2'
'-x,y,z'
'x,-y,z+1/2'
loop_
_atom_site_label
_atom_site_type_symbol
_atom_site_fract_x
_atom_site_fract_y
_atom_site_fract_z
Ho1 Ho 0.000 0.049 0.000
Er1 Er 0.000 0.320 0.636
Er2 Er 0.500 0.182 0.293
Er3 Er 0.500 0.450 0.928
Ga1 Ga 0.000 0.361 0.174
Ga2 Ga 0.500 0.139 0.753

***

Which one is most stable, and which one is least stable? version B is the most stable of them, while version A is the least stable.

***

Version A
# Ho2ErGa6, relaxed, DFT PBE
# * Fermi-level density of states: 9.24 states/eV/cell
# * volume: 395.7 Å³/cell
data_Ho2ErGa6
_cell_length_a 4.285
_cell_length_b 6.918
_cell_length_c 13.349
_cell_angle_alpha 90.00
_cell_angle_beta 90.00
_cell_angle_gamma 90.00
_symmetry_space_group_name_H-M 'I m m m'
_symmetry_Int_Tables_number 71
_symmetry_space_group_name_Hall '-I 2 2'
loop_
_atom_site_label
_atom_site_type_symbol
_atom_site_fract_x
_atom_site_fract_y
_atom_site_fract_z
Ho1 Ho 0.000 0.000 0.125
Er1 Er 0.000 0.500 0.000
Ga1 Ga 0.000 0.193 0.315
Ga2 Ga 0.000 0.308 0.500

***

Version B
# Ho2ErGa6, relaxed, DFT PBE
# * Fermi-level density of states: 3.34 states/eV/cell
# * volume: 182.3 Å³/cell
data_Ho2ErGa6
_cell_length_a 7.4563
_cell_length_b 7.4563
_cell_length_c 3.7865
_cell_angle_alpha 90.00
_cell_angle_beta 90.00
_cell_angle_gamma 120.00
_symmetry_space_group_name_H-M 'P 6/m m m'
_symmetry_Int_Tables_number 191
_symmetry_space_group_name_Hall '-P 6 2'
loop_
_atom_site_label
_atom_site_type_symbol
_atom_site_fract_x
_atom_site_fract_y
_atom_site_fract_z
Ho1 Ho 0.3333 0.6667 0.0000
Er1 Er 0.0000 0.0000 0.0000
Ga1 Ga 0.0000 0.3331 0.5000

***

Which one is most stable, and which one is least stable? version B is the most stable of them, while version A is the least stable.

***

Version A
# HoEr3Ga4, relaxed, DFT PBE
# * Fermi-level density of states: 9.54 states/eV/cell
# * volume: 534.2 Å³/cell
data_HoEr3Ga4
_cell_length_a 5.0072
_cell_length_b 5.0072
_cell_length_c 24.6020
_cell_angle_alpha 90.00
_cell_angle_beta 90.00
_cell_angle_gamma 120.00
_symmetry_space_group_name_H-M 'R -3 m'
_symmetry_Int_Tables_number 166
_symmetry_space_group_name_Hall '-R 3 2"'
loop_
_atom_site_label
_atom_site_type_symbol
_atom_site_fract_x
_atom_site_fract_y
_atom_site_fract_z
Ho1 Ho 0.0000 0.0000 0.0000
Er1 Er 0.0000 0.0000 0.2499
Er2 Er 0.0000 0.0000 0.5000
Ga1 Ga 0.0000 0.0000 0.1252
Ga2 Ga 0.0000 0.0000 0.3752

***

Version B
# HoEr3Ga4, relaxed, DFT PBE
# * Fermi-level density of states: 8.18 states/eV/cell
# * volume: 390.6 Å³/cell
data_HoEr3Ga4
_cell_length_a 3.542
_cell_length_b 6.702
_cell_length_c 16.453
_cell_angle_alpha 90.00
_cell_angle_beta 90.00
_cell_angle_gamma 90.00
_symmetry_space_group_name_H-M 'I m m m'
_symmetry_Int_Tables_number 71
_symmetry_space_group_name_Hall '-I 2 2'
loop_
_atom_site_label
_atom_site_type_symbol
_atom_site_fract_x
_atom_site_fract_y
_atom_site_fract_z
Ho1 Ho 0.000 0.000 0.000
Er1 Er 0.000 0.000 0.500
Er2 Er 0.000 0.500 0.297
Ga1 Ga 0.000 0.307 0.130

***

Which one is most stable, and which one is least stable? version A is the most stable of them, while version B is the least stable.

***

Version A
# HoErGaPd, relaxed, DFT PBE
# * Fermi-level density of states: 5.72 states/eV/cell
# * volume: 181.1 Å³/cell
data_HoErGaPd
_cell_length_a 4.478
_cell_length_b 3.701
_cell_length_c 10.926
_cell_angle_alpha 90.00
_cell_angle_beta 90.00
_cell_angle_gamma 90.00
_symmetry_space_group_name_H-M 'A m m 2'
_symmetry_Int_Tables_number 38
loop_
_symmetry_equiv_pos_as_xyz
'x,y,z'
'-x,-y,z'
'-x,y,z'
'x,-y,z'
'x,y+1/2,z+1/2'
'-x,-y+1/2,z+1/2'
'-x,y+1/2,z+1/2'
'x,-y+1/2,z+1/2'
loop_
_atom_site_label
_atom_site_type_symbol
_atom_site_fract_x
_atom_site_fract_y
_atom_site_fract_z
Ho1 Ho 0.000 0.000 0.000
Er1 Er 0.500 0.000 0.715
Ga1 Ga 0.000 0.000 0.278
Pd1 Pd 0.500 0.000 0.432

***

Version B
# HoErGaPd, relaxed, DFT PBE
# * Fermi-level density of states: 13.38 states/eV/cell
# * volume: 350.8 Å³/cell
data_HoErGaPd
_cell_length_a 7.053
_cell_length_b 7.053
_cell_length_c 7.053
_cell_angle_alpha 90.00
_cell_angle_beta 90.00
_cell_angle_gamma 90.00
_symmetry_space_group_name_H-M 'F -4 3 m'
_symmetry_Int_Tables_number 216
_symmetry_space_group_name_Hall 'F -4 2 3'
loop_
_atom_site_label
_atom_site_type_symbol
_atom_site_fract_x
_atom_site_fract_y
_atom_site_fract_z
Ho1 Ho 0.000 0.000 0.000
Er1 Er 0.000 0.000 0.500
Ga1 Ga 0.250 0.250 0.250
Pd1 Pd 0.250 0.250 0.750

***

Which one is most stable, and which one is least stable? version A is the most stable of them, while version B is the least stable.

***

Version A
# HoErGaPt, relaxed, DFT PBE
# * Fermi-level density of states: 12.49 states/eV/cell
# * volume: 347.5 Å³/cell
data_HoErGaPt
_cell_length_a 7.030
_cell_length_b 7.030
_cell_length_c 7.030
_cell_angle_alpha 90.00
_cell_angle_beta 90.00
_cell_angle_gamma 90.00
_symmetry_space_group_name_H-M 'F -4 3 m'
_symmetry_Int_Tables_number 216
_symmetry_space_group_name_Hall 'F -4 2 3'
loop_
_atom_site_label
_atom_site_type_symbol
_atom_site_fract_x
_atom_site_fract_y
_atom_site_fract_z
Ho1 Ho 0.000 0.000 0.000
Er1 Er 0.000 0.000 0.500
Ga1 Ga 0.250 0.250 0.250
Pt1 Pt 0.250 0.250 0.750

***

Version B
# HoErGaPt, relaxed, DFT PBE
# * Fermi-level density of states: 5.44 states/eV/cell
# * volume: 179.5 Å³/cell
data_HoErGaPt
_cell_length_a 4.432
_cell_length_b 3.738
_cell_length_c 10.834
_cell_angle_alpha 90.00
_cell_angle_beta 90.00
_cell_angle_gamma 90.00
_symmetry_space_group_name_H-M 'A m m 2'
_symmetry_Int_Tables_number 38
loop_
_symmetry_equiv_pos_as_xyz
'x,y,z'
'-x,-y,z'
'-x,y,z'
'x,-y,z'
'x,y+1/2,z+1/2'
'-x,-y+1/2,z+1/2'
'-x,y+1/2,z+1/2'
'x,-y+1/2,z+1/2'
loop_
_atom_site_label
_atom_site_type_symbol
_atom_site_fract_x
_atom_site_fract_y
_atom_site_fract_z
Ho1 Ho 0.000 0.000 0.000
Er1 Er 0.500 0.000 0.716
Ga1 Ga 0.000 0.000 0.280
Pt1 Pt 0.500 0.000 0.435

***

Which one is most stable, and which one is least stable? version B is the most stable of them, while version A is the least stable.

***

Version A
# HoErGaRh, relaxed, DFT PBE
# * Fermi-level density of states: 7.34 states/eV/cell
# * volume: 338.6 Å³/cell
data_HoErGaRh
_cell_length_a 6.970
_cell_length_b 6.970
_cell_length_c 6.970
_cell_angle_alpha 90.00
_cell_angle_beta 90.00
_cell_angle_gamma 90.00
_symmetry_space_group_name_H-M 'F -4 3 m'
_symmetry_Int_Tables_number 216
_symmetry_space_group_name_Hall 'F -4 2 3'
loop_
_atom_site_label
_atom_site_type_symbol
_atom_site_fract_x
_atom_site_fract_y
_atom_site_fract_z
Ho1 Ho 0.000 0.000 0.000
Er1 Er 0.000 0.000 0.500
Ga1 Ga 0.250 0.250 0.750
Rh1 Rh 0.250 0.250 0.250

***

Version B
# HoErGaRh, relaxed, DFT PBE
# * Fermi-level density of states: 5.33 states/eV/cell
# * volume: 176.7 Å³/cell
data_HoErGaRh
_cell_length_a 4.323
_cell_length_b 3.848
_cell_length_c 10.621
_cell_angle_alpha 90.00
_cell_angle_beta 90.00
_cell_angle_gamma 90.00
_symmetry_space_group_name_H-M 'A m m 2'
_symmetry_Int_Tables_number 38
loop_
_symmetry_equiv_pos_as_xyz
'x,y,z'
'-x,-y,z'
'-x,y,z'
'x,-y,z'
'x,y+1/2,z+1/2'
'-x,-y+1/2,z+1/2'
'-x,y+1/2,z+1/2'
'x,-y+1/2,z+1/2'
loop_
_atom_site_label
_atom_site_type_symbol
_atom_site_fract_x
_atom_site_fract_y
_atom_site_fract_z
Ho1 Ho 0.000 0.000 0.000
Er1 Er 0.500 0.000 0.283
Ga1 Ga 0.000 0.000 0.714
Rh1 Rh 0.500 0.000 0.567

***

Which one is most stable, and which one is least stable? version B is the most stable of them, while version A is the least stable.

***

Version A
# HoErGaRu, relaxed, DFT PBE
# * Fermi-level density of states: 9.31 states/eV/cell
# * volume: 332.2 Å³/cell
data_HoErGaRu
_cell_length_a 6.926
_cell_length_b 6.926
_cell_length_c 6.926
_cell_angle_alpha 90.00
_cell_angle_beta 90.00
_cell_angle_gamma 90.00
_symmetry_space_group_name_H-M 'F -4 3 m'
_symmetry_Int_Tables_number 216
_symmetry_space_group_name_Hall 'F -4 2 3'
loop_
_atom_site_label
_atom_site_type_symbol
_atom_site_fract_x
_atom_site_fract_y
_atom_site_fract_z
Ho1 Ho 0.000 0.000 0.000
Er1 Er 0.000 0.000 0.500
Ga1 Ga 0.250 0.250 0.250
Ru1 Ru 0.250 0.250 0.750

***

Version B
# HoErGaRu, relaxed, DFT PBE
# * Fermi-level density of states: 6.47 states/eV/cell
# * volume: 176.1 Å³/cell
data_HoErGaRu
_cell_length_a 4.284
_cell_length_b 3.867
_cell_length_c 10.630
_cell_angle_alpha 90.00
_cell_angle_beta 90.00
_cell_angle_gamma 90.00
_symmetry_space_group_name_H-M 'A m m 2'
_symmetry_Int_Tables_number 38
loop_
_symmetry_equiv_pos_as_xyz
'x,y,z'
'-x,-y,z'
'-x,y,z'
'x,-y,z'
'x,y+1/2,z+1/2'
'-x,-y+1/2,z+1/2'
'-x,y+1/2,z+1/2'
'x,-y+1/2,z+1/2'
loop_
_atom_site_label
_atom_site_type_symbol
_atom_site_fract_x
_atom_site_fract_y
_atom_site_fract_z
Ho1 Ho 0.000 0.000 0.000
Er1 Er 0.500 0.000 0.287
Ga1 Ga 0.500 0.000 0.578
Ru1 Ru 0.000 0.000 0.717

***

Which one is most stable, and which one is least stable? version B is the most stable of them, while version A is the least stable.

***

Version A
# Er4In2Ga, relaxed, DFT PBE
# * Fermi-level density of states: 6.60 states/eV/cell
# * volume: 195.1 Å³/cell
data_Er4In2Ga
_cell_length_a 7.786
_cell_length_b 3.559
_cell_length_c 7.826
_cell_angle_alpha 90.00
_cell_angle_beta 115.86
_cell_angle_gamma 90.00
_symmetry_space_group_name_H-M 'P 1 2/m 1'
_symmetry_Int_Tables_number 10
loop_
_symmetry_equiv_pos_as_xyz
'x,y,z'
'-x,-y,-z'
'-x,y,-z'
'x,-y,z'
loop_
_atom_site_label
_atom_site_type_symbol
_atom_site_fract_x
_atom_site_fract_y
_atom_site_fract_z
Er1 Er 0.063 0.000 0.316
Er2 Er 0.354 0.500 0.722
In1 In 0.209 0.500 0.046
Ga1 Ga 0.500 0.000 0.500

***

Version B
# Er4In2Ga, relaxed, DFT PBE
# * Fermi-level density of states: 14.12 states/eV/cell
# * volume: 386.1 Å³/cell
data_Er4In2Ga
_cell_length_a 8.897
_cell_length_b 5.152
_cell_length_c 8.916
_cell_angle_alpha 90.00
_cell_angle_beta 109.18
_cell_angle_gamma 90.00
_symmetry_space_group_name_H-M 'C 1 2/m 1'
_symmetry_Int_Tables_number 12
loop_
_symmetry_equiv_pos_as_xyz
'x,y,z'
'-x,-y,-z'
'-x,y,-z'
'x,-y,z'
'x+1/2,y+1/2,z'
'-x+1/2,-y+1/2,-z'
'-x+1/2,y+1/2,-z'
'x+1/2,-y+1/2,z'
loop_
_atom_site_label
_atom_site_type_symbol
_atom_site_fract_x
_atom_site_fract_y
_atom_site_fract_z
Er1 Er 0.124 0.000 0.373
Er2 Er 0.125 0.500 0.873
In1 In 0.247 0.500 0.242
Ga1 Ga 0.000 0.500 0.500

***

Which one is most stable, and which one is least stable? version B is the most stable of them, while version A is the least stable.